A relaxed structure of Al4VGa5, computed with PBE-GGA.

Calculated values
Magnetic moment = 1.36 μB per cell
Formation energy = 0.1077 eV/atom
N(E_F) = 6.6 states/eV/cell

a = 5.3583 Å, b = 6.4055 Å, c = 6.4055 Å
α = 79.93°, β = 65.28°, γ = 65.28°
With the nearest neighbours (Å) after each atom.
Element x y z (fractional)
Ga: 0.6887 0.1887 0.3457  4 Al 2.65-2.80, 1 V 2.65, 1 Ga 2.70
Ga: 0.6912 0.0000 0.0000  2 V 2.61-2.74, 4 Ga 2.70, 4 Al 2.73
Ga: 0.2231 0.8113 0.6543  4 Al 2.65-2.80, 1 V 2.65, 1 Ga 2.70
Ga: 0.8774 0.3457 0.8113  4 Al 2.65-2.80, 1 V 2.65, 1 Ga 2.70
Ga: 0.0344 0.6543 0.1887  4 Al 2.65-2.80, 1 V 2.65, 1 Ga 2.70
Al: 0.7339 0.7744 0.6539  5 Ga 2.65-2.80, 1 V 2.74
Al: 0.3878 0.3461 0.7744  5 Ga 2.65-2.80, 1 V 2.74
Al: 0.5083 0.6539 0.2256  5 Ga 2.65-2.80, 1 V 2.74
Al: 0.1623 0.2256 0.3461  5 Ga 2.65-2.80, 1 V 2.74
V: 0.2032 0.0000 0.0000  6 Ga 2.61-2.74, 4 Al 2.74